This record from Alexandria describes a relaxed EuP crystal. The functional is PBE-GGA.

Unit cell a=4.1717 b=4.1717 c=4.1717 alpha=60.00 beta=60.00 gamma=60.00
Atoms (fractional coordinates):
Eu (0.0000, 0.0000, 0.0000)
P (0.5000, 0.5000, 0.5000)

For the calculated density, the calculation gives 5.9 g/cm³. The formation enthalpy at 0 K comes out at -1030 meV per atom. For the density of states at the Fermi level, the calculation gives 6.97 states/eV/cell.